No. 1
Density functional theory data (PBE-GGA) for a geometry-optimized K2GaCuO4 structure.

It has space group Fddd (No. 70, origin choice 2), with a = 5.455 Å, b = 12.790 Å, c = 17.856 Å, α = 90.00°, β = 90.00° and γ = 90.00°. The inequivalent atoms are K at (0.125, 0.125, 0.302), Ga at (0.125, 0.125, 0.625), Cu at (0.125, 0.125, 0.125) and O at (0.121, 0.280, 0.399).

***

No. 2
Density functional theory data (PBE-GGA) for a geometry-optimized Sc2CrTc structure.

The density of states at the Fermi level is 1.31 states/eV per atom. For the formation energy, the calculation gives 0.163 eV/atom.

It has space group I-4m2 (No. 119), with a = 4.566 Å, b = 4.566 Å, c = 6.471 Å, α = 90.00°, β = 90.00° and γ = 90.00°. The inequivalent atoms are Sc at (0.000, 0.000, 0.000), Sc at (0.000, 0.500, 0.250), Cr at (0.000, 0.000, 0.500) and Tc at (0.000, 0.500, 0.750).

***

No. 3
Density functional theory data (PBE-GGA) for a geometry-optimized YTeRh2 structure.

The density of states at the Fermi level is 0.60 states/eV per atom.

It has space group P2/m (No. 10), with a = 3.649 Å, b = 3.430 Å, c = 6.213 Å, α = 90.00°, β = 90.06° and γ = 90.00°. The inequivalent atoms are Y at (0.000, 0.000, 0.000), Te at (0.000, 0.000, 0.500) and Rh at (0.500, 0.500, 0.263).

***

No. 4
Density functional theory data (PBE-GGA) for a geometry-optimized MnReP4 structure.

The density of states at the Fermi level is 0.61 states/eV per atom. For the formation energy, the calculation gives 0.851 eV/atom.

It has space group F-43m (No. 216), with a = 6.905 Å, b = 6.905 Å, c = 6.905 Å, α = 90.00°, β = 90.00° and γ = 90.00°. The inequivalent atoms are Mn at (0.000, 0.000, 0.000), Re at (0.250, 0.250, 0.750) and P at (0.125, 0.125, 0.375).

***

No. 5
Density functional theory data (PBE-GGA) for a geometry-optimized Er4Ni2HgRu structure.

The density of states at the Fermi level is 0.63 states/eV per atom. For the formation energy, the calculation gives -0.425 eV/atom.

It has space group R-3m (No. 166, hexagonal axes), with a = 4.8663 Å, b = 4.8663 Å, c = 24.1537 Å, α = 90.00°, β = 90.00° and γ = 120.00°. The inequivalent atoms are Er at (0.0000, 0.0000, 0.1168), Er at (0.0000, 0.0000, 0.3698), Ni at (0.0000, 0.0000, 0.2535), Hg at (0.0000, 0.0000, 0.5000) and Ru at (0.0000, 0.0000, 0.0000).

***

One value per record, in order, for total DFT energy (no corrections): -312.13, -64.00, -26.26, -152.61, -128.39 eV for the cell shown.